[1]
Below is an optimized crystal structure of BaPOsPd, with properties calculated at the PBE-GGA level.

Results
Size of the total moment: 0.00 μB per cell
Fermi-level density of states: 1.6 states/eV/f.u.
Space group: P4/nmm
Electronic total energy: -51.78 eV per cell
Crystal system: tetragonal
Formation energy from the elements: -0.534 eV/atom

Lattice parameters (Å, degrees): 4.0245 4.0245 11.2548 90.00 90.00 90.00
Fractional coordinates of all 8 atoms:
Ba (0.7500, 0.7500, 0.2733)
Ba (0.2500, 0.2500, 0.7267)
P (0.7500, 0.7500, 0.8923)
P (0.2500, 0.2500, 0.1077)
Os (0.7500, 0.2500, 0.0000)
Os (0.2500, 0.7500, 0.0000)
Pd (0.2500, 0.7500, 0.5000)
Pd (0.7500, 0.2500, 0.5000)



[2]
Below is an optimized crystal structure of Mn2Pd2Pt, with properties calculated at the PBE-GGA level.

Results
Size of the total moment: 17.60 μB per cell
Fermi-level density of states: 2.4 states/eV/f.u.
Space group: C2/m
E above lowest polymorph: 0.0000 eV per atom
Electronic total energy: -72.19 eV per cell
Crystal system: monoclinic
Formation energy from the elements: -0.266 eV/atom

Lattice parameters (Å, degrees): 3.5322 5.8441 8.7173 120.03 101.69 90.00
Last column: magnetic moment on the atom in μB.
Fractional coordinates of all 10 atoms:
Mn (0.3985, 0.8478, 0.7970)  3.83
Mn (0.3985, 0.3478, 0.7970)  3.83
Mn (0.6015, 0.1522, 0.2030)  3.83
Mn (0.6015, 0.6522, 0.2030)  3.83
Pd (0.1948, 0.5423, 0.3895)  0.23
Pd (0.8052, 0.9577, 0.6105)  0.23
Pd (0.8052, 0.4577, 0.6105)  0.23
Pd (0.1948, 0.0423, 0.3895)  0.23
Pt (0.0000, 0.2500, 0.0000)  0.34
Pt (0.0000, 0.7500, 0.0000)  0.34



[3]
Below is an optimized crystal structure of Li4MgHg, with properties calculated at the PBE-GGA level.

Results
Size of the total moment: 0.00 μB per cell
Fermi-level density of states: 1.9 states/eV/f.u.
Space group: P2/m
E above lowest polymorph: 0.0326 eV per atom
Electronic total energy: -21.02 eV per cell
Crystal system: monoclinic
Formation energy from the elements: -0.159 eV/atom

Lattice parameters (Å, degrees): 4.7466 8.5429 8.6350 139.23 90.00 90.00
Fractional coordinates of all 12 atoms:
Li (0.4999, 0.7556, 0.5990)
Li (0.4999, 0.7444, 0.9010)
Li (0.0002, 0.0471, 0.3675)
Li (0.0002, 0.4529, 0.1325)
Li (0.9998, 0.9529, 0.6325)
Li (0.9998, 0.5471, 0.8675)
Li (0.5001, 0.2556, 0.0990)
Li (0.5001, 0.2444, 0.4010)
Mg (0.4997, 0.2500, 0.7500)
Mg (0.5003, 0.7500, 0.2500)
Hg (0.0000, 0.5000, 0.5000)
Hg (0.0000, 0.0000, 0.0000)



[4]
Below is an optimized crystal structure of NaTc2Sn2, with properties calculated at the PBE-GGA level.

Results
Size of the total moment: 2.84 μB per cell
Fermi-level density of states: 5.0 states/eV/f.u.
Space group: P4/mbm
E above lowest polymorph: 0.0000 eV per atom
Electronic total energy: -57.88 eV per cell
Crystal system: tetragonal
Formation energy from the elements: 0.223 eV/atom

Lattice parameters (Å, degrees): 7.9921 7.9921 3.0796 90.00 90.00 90.00
Last column: magnetic moment on the atom in μB.
Fractional coordinates of all 10 atoms:
Na (0.0000, 0.0000, 0.0000)  0.00
Na (0.5000, 0.5000, 0.0000)  0.00
Sn (0.1766, 0.6766, 0.5000)  -0.02
Sn (0.6766, 0.8234, 0.5000)  -0.02
Sn (0.8234, 0.3234, 0.5000)  -0.02
Sn (0.3234, 0.1766, 0.5000)  -0.02
Tc (0.3863, 0.8863, 0.0000)  0.65
Tc (0.8863, 0.6137, 0.0000)  0.63
Tc (0.6137, 0.1137, 0.0000)  0.65
Tc (0.1137, 0.3863, 0.0000)  0.63



[5]
Below is an optimized crystal structure of DyPu5Ir5, with properties calculated at the PBE-GGA level.

Results
Size of the total moment: 13.90 μB per cell
Fermi-level density of states: 47.4 states/eV/f.u.
Space group: C2/m
Electronic total energy: -123.96 eV per cell
Crystal system: monoclinic
Formation energy from the elements: -0.309 eV/atom

Lattice parameters (Å, degrees): 5.5674 6.8260 8.0119 106.62 90.00 114.07
Last column: magnetic moment on the atom in μB.
Fractional coordinates of all 11 atoms:
Dy (0.0000, 0.0000, 0.0000)  -0.04
Pu (0.6588, 0.3177, 0.3288)  -4.80
Pu (0.6687, 0.3375, 0.8425)  -4.86
Pu (0.0000, 0.0000, 0.5000)  4.92
Pu (0.3313, 0.6625, 0.1575)  -4.86
Pu (0.3412, 0.6823, 0.6712)  -4.80
Ir (0.8325, 0.6650, 0.1814)  0.19
Ir (0.8210, 0.6420, 0.6517)  0.24
Ir (0.5000, 0.0000, 0.0000)  0.27
Ir (0.1790, 0.3580, 0.3483)  0.24
Ir (0.1675, 0.3350, 0.8186)  0.19



[6]
Below is an optimized crystal structure of ZrSeBr2O, with properties calculated at the PBE-GGA level.

Results
Size of the total moment: 0.00 μB per cell
Fermi-level density of states: 4.9 states/eV/f.u.
Space group: P4/mmm
ΔE_f (raw): 1.34 eV/f.u.
E above lowest polymorph: 0.4267 eV per atom
Electronic total energy: -18.99 eV per cell
Crystal system: tetragonal

Lattice parameters (Å, degrees): 4.5674 4.5674 4.7636 90.00 90.00 90.00
Fractional coordinates of all 5 atoms:
O (0.0000, 0.0000, 0.0000)
Se (0.0000, 0.0000, 0.5000)
Br (0.0000, 0.5000, 0.0000)
Br (0.5000, 0.0000, 0.0000)
Zr (0.5000, 0.5000, 0.5000)



[7]
Below is an optimized crystal structure of Li4DyU3Se8, with properties calculated at the PBE-GGA level.

Results
Size of the total moment: 8.99 μB per cell
Fermi-level density of states: 14.2 states/eV/f.u.
Space group: R-3m
ΔE_f (raw): -20.76 eV/f.u.
Electronic total energy: -94.76 eV per cell
Crystal system: trigonal

Lattice parameters (Å, degrees): 8.0742 8.0663 8.0752 120.00 120.00 90.00
Last column: magnetic moment on the atom in μB.
Fractional coordinates of all 16 atoms:
Li (0.5000, 0.0000, 0.0000)  0.00
Li (0.5000, 0.0000, 0.5000)  0.00
Li (0.0000, 0.0000, 0.0000)  0.00
Li (0.0000, 0.0000, 0.5000)  0.00
Dy (0.0000, 0.5000, 0.0000)  0.17
U (0.5000, 0.5000, 0.0000)  2.65
U (0.5000, 0.5000, 0.5000)  2.65
U (0.0000, 0.5000, 0.5000)  2.65
Se (0.2518, 0.7584, 0.0063)  -0.04
Se (0.2518, 0.7584, 0.5036)  -0.04
Se (0.2465, 0.2393, 0.4931)  -0.06
Se (0.7545, 0.7584, 0.0063)  -0.04
Se (0.2455, 0.2416, 0.9937)  -0.04
Se (0.7535, 0.7607, 0.5069)  -0.06
Se (0.7482, 0.2416, 0.4964)  -0.04
Se (0.7482, 0.2416, 0.9937)  -0.04



[8]
Below is an optimized crystal structure of Pm12OsAu6, with properties calculated at the PBE-GGA level.

Results
Size of the total moment: 0.00 μB per cell
Fermi-level density of states: 22.0 states/eV/f.u.
Space group: R-3
Electronic total energy: -95.71 eV per cell
Crystal system: trigonal
Formation energy from the elements: -0.411 eV/atom

Lattice parameters (Å, degrees): 8.5463 8.5463 8.5463 98.23 98.23 98.23
Fractional coordinates of all 19 atoms:
Pm (0.8160, 0.5746, 0.4220)
Pm (0.4220, 0.8160, 0.5746)
Pm (0.5746, 0.4220, 0.8160)
Pm (0.1840, 0.4254, 0.5780)
Pm (0.5780, 0.1840, 0.4254)
Pm (0.4254, 0.5780, 0.1840)
Pm (0.0651, 0.9677, 0.3181)
Pm (0.0323, 0.6819, 0.9349)
Pm (0.6819, 0.9349, 0.0323)
Pm (0.9349, 0.0323, 0.6819)
Pm (0.9677, 0.3181, 0.0651)
Pm (0.3181, 0.0651, 0.9677)
Os (0.0000, 0.0000, 0.0000)
Au (0.6914, 0.8690, 0.3732)
Au (0.6268, 0.3086, 0.1310)
Au (0.1310, 0.6268, 0.3086)
Au (0.3086, 0.1310, 0.6268)
Au (0.3732, 0.6914, 0.8690)
Au (0.8690, 0.3732, 0.6914)



In Mg/m³, the ρ values for the records above are, in order, 8.47 11.35 3.67 7.71 14.74 5.78 6.86 8.57.